Computed, not measured: crystalline SrMg3Ir2 at its relaxed geometry at the PBE level of DFT.

Total energy: -4.30 eV/atom
Energy relative to the elements: -26 kJ per mole of atoms
Symmetry: P6/mmm (191)

Unit cell a=4.433 b=9.961 c=9.961 alpha=120.00 beta=90.00 gamma=90.00
Atoms (fractional coordinates):
Sr 0.500 0.000 0.000
Sr 0.000 0.667 0.333
Sr 0.000 0.333 0.667
Mg 0.500 0.500 0.500
Mg 0.500 0.000 0.500
Mg 0.500 0.500 0.000
Mg 0.000 0.709 0.709
Mg 0.000 0.000 0.291
Mg 0.000 0.291 0.000
Mg 0.000 0.291 0.291
Mg 0.000 0.000 0.709
Mg 0.000 0.709 0.000
Ir 0.500 0.825 0.175
Ir 0.500 0.350 0.175
Ir 0.500 0.825 0.650
Ir 0.500 0.175 0.825
Ir 0.500 0.650 0.825
Ir 0.500 0.175 0.350



Computed, not measured: crystalline Sr2MgTcIr at its relaxed geometry at the PBE level of DFT.

Total energy: -3.41 eV/atom
Energy relative to the elements: 138 kJ per mole of atoms
Symmetry: P4/mmm (123)

Unit cell a=5.761 b=4.689 c=5.761 alpha=90.00 beta=90.00 gamma=90.00
Atoms (fractional coordinates):
Sr 0.000 0.000 0.500
Sr 0.500 0.000 0.000
Mg 0.000 0.000 0.000
Ir 0.500 0.500 0.500
Tc 0.000 0.500 0.000



Computed, not measured: crystalline SrMgTl2Ir at its relaxed geometry at the PBE level of DFT.

Total energy: -3.04 eV/atom
Energy relative to the elements: 32 kJ per mole of atoms
Symmetry: P4/mmm (123)

Unit cell a=5.338 b=4.950 c=5.338 alpha=90.00 beta=90.00 gamma=90.00
Atoms (fractional coordinates):
Sr 0.500 0.500 0.500
Tl 0.000 0.000 0.500
Tl 0.500 0.000 0.000
Ir 0.000 0.500 0.000
Mg 0.000 0.000 0.000



Computed, not measured: crystalline SrMg2TlIr at its relaxed geometry at the PBE level of DFT.

Total energy: -3.40 eV/atom
Energy relative to the elements: -17 kJ per mole of atoms
Symmetry: P4/mmm (123)

Unit cell a=5.083 b=5.083 c=5.292 alpha=90.00 beta=90.00 gamma=90.00
Atoms (fractional coordinates):
Sr 0.500 0.500 0.500
Tl 0.000 0.000 0.500
Ir 0.000 0.000 0.000
Mg 0.000 0.500 0.000
Mg 0.500 0.000 0.000



Computed, not measured: crystalline Sr2MgVIr at its relaxed geometry at the PBE level of DFT.

Total energy: -4.33 eV/atom
Energy relative to the elements: 25 kJ per mole of atoms
Symmetry: P4/mmm (123)

Unit cell a=5.911 b=4.737 c=5.911 alpha=90.00 beta=90.00 gamma=90.00
Atoms (fractional coordinates):
Sr 0.000 0.000 0.500
Sr 0.500 0.000 0.000
Mg 0.500 0.500 0.500
Ir 0.000 0.000 0.000
V 0.000 0.500 0.000



Computed, not measured: crystalline SrYMg2Ir at its relaxed geometry at the PBE level of DFT.

Total energy: -4.29 eV/atom
Energy relative to the elements: -24 kJ per mole of atoms
Symmetry: P4/mmm (123)

Unit cell a=5.245 b=5.245 c=5.272 alpha=90.00 beta=90.00 gamma=90.00
Atoms (fractional coordinates):
Y 0.000 0.000 0.500
Sr 0.500 0.500 0.500
Mg 0.000 0.500 0.000
Mg 0.500 0.000 0.000
Ir 0.000 0.000 0.000



Computed, not measured: crystalline Sr2Mg6ZnIr at its relaxed geometry at the PBE level of DFT.

Total energy: -2.40 eV/atom
Energy relative to the elements: -9 kJ per mole of atoms
Symmetry: C2/m (12)

Unit cell a=7.298 b=7.298 c=7.279 alpha=60.01 beta=60.01 gamma=90.08
Atoms (fractional coordinates):
Sr 0.250 0.750 0.500
Sr 0.750 0.250 0.500
Mg 0.255 0.745 0.000
Mg 0.745 0.745 0.000
Mg 0.254 0.254 0.491
Mg 0.745 0.255 0.000
Mg 0.255 0.255 0.000
Mg 0.746 0.746 0.509
Zn 0.000 0.000 0.000
Ir 0.500 0.500 0.000



Computed, not measured: crystalline Sr2Mg3Zn12Ir at its relaxed geometry at the PBE level of DFT.

Total energy: -1.84 eV/atom
Energy relative to the elements: -4 kJ per mole of atoms
Symmetry: R-3m (166)

Unit cell a=11.427 b=11.427 c=11.427 alpha=32.02 beta=32.02 gamma=32.02
Atoms (fractional coordinates):
Sr 0.648 0.648 0.648
Sr 0.352 0.352 0.352
Mg 0.500 0.000 0.000
Mg 0.000 0.500 0.000
Mg 0.000 0.000 0.500
Zn 0.419 0.419 0.835
Zn 0.916 0.916 0.354
Zn 0.354 0.916 0.916
Zn 0.835 0.419 0.419
Zn 0.916 0.354 0.916
Zn 0.419 0.835 0.419
Zn 0.581 0.581 0.165
Zn 0.084 0.084 0.646
Zn 0.646 0.084 0.084
Zn 0.165 0.581 0.581
Zn 0.084 0.646 0.084
Zn 0.581 0.165 0.581
Ir 0.000 0.000 0.000



Computed, not measured: crystalline Mg2TaIr at its relaxed geometry at the PBE level of DFT.

Total energy: -6.05 eV/atom
Distance to the lowest polymorph of the same formula: 0.195 eV/atom
Energy relative to the elements: -7 kJ per mole of atoms
Symmetry: R3m (160)

Unit cell a=9.798 b=9.798 c=9.798 alpha=17.31 beta=17.31 gamma=17.31
Atoms (fractional coordinates):
Ir 0.752 0.752 0.752
Mg 0.009 0.009 0.009
Mg 0.247 0.247 0.247
Ta 0.492 0.492 0.492



Computed, not measured: crystalline Mg2TaIr at its relaxed geometry at the PBE level of DFT.

Total energy: -5.98 eV/atom
Distance to the lowest polymorph of the same formula: 0.265 eV/atom
Energy relative to the elements: 0 kJ per mole of atoms
Symmetry: Pmmm (47)

Unit cell a=2.884 b=4.393 c=5.413 alpha=90.00 beta=90.00 gamma=90.00
Atoms (fractional coordinates):
Ir 0.500 0.500 0.750
Mg 0.000 0.000 0.989
Mg 0.000 0.000 0.511
Ta 0.500 0.500 0.250



Computed, not measured: crystalline Mg2TaIr at its relaxed geometry at the PBE level of DFT.

Total energy: -5.92 eV/atom
Distance to the lowest polymorph of the same formula: 0.318 eV/atom
Energy relative to the elements: 5 kJ per mole of atoms
Symmetry: P4/mmm (123)

Unit cell a=2.870 b=2.870 c=8.407 alpha=90.00 beta=90.00 gamma=90.00
Atoms (fractional coordinates):
Ir 0.500 0.500 0.750
Mg 0.000 0.000 0.969
Mg 0.000 0.000 0.531
Ta 0.500 0.500 0.250



Computed, not measured: crystalline Mg3TaIr at its relaxed geometry at the PBE level of DFT.

Total energy: -4.24 eV/atom
Distance to the lowest polymorph of the same formula: 0.000 eV/atom
Energy relative to the elements: 83 kJ per mole of atoms
Symmetry: Pm-3m (221)

Unit cell a=4.804 b=4.804 c=4.804 alpha=90.00 beta=90.00 gamma=90.00
Atoms (fractional coordinates):
Mg 0.000 0.500 0.000
Mg 0.000 0.000 0.500
Mg 0.500 0.000 0.000
Ir 0.000 0.000 0.000
Ta 0.500 0.500 0.500



Computed, not measured: crystalline Mg2TaIr2 at its relaxed geometry at the PBE level of DFT.

Total energy: -6.70 eV/atom
Distance to the lowest polymorph of the same formula: 0.000 eV/atom
Energy relative to the elements: -15 kJ per mole of atoms
Symmetry: P4/mbm (127)

Unit cell a=7.350 b=7.350 c=3.075 alpha=90.00 beta=90.00 gamma=90.00
Atoms (fractional coordinates):
Mg 0.136 0.636 0.500
Mg 0.636 0.864 0.500
Mg 0.864 0.364 0.500
Mg 0.364 0.136 0.500
Ir 0.337 0.837 0.000
Ir 0.837 0.663 0.000
Ir 0.663 0.163 0.000
Ir 0.163 0.337 0.000
Ta 0.000 0.000 0.000
Ta 0.500 0.500 0.000



Computed, not measured: crystalline MgTa2Ir3 at its relaxed geometry at the PBE level of DFT.

Total energy: -9.21 eV/atom
Energy relative to the elements: -54 kJ per mole of atoms
Symmetry: P4/mmm (123)

Unit cell a=2.962 b=2.962 c=10.913 alpha=90.00 beta=90.00 gamma=90.00
Atoms (fractional coordinates):
Mg 0.500 0.500 0.500
Ta 0.500 0.500 0.825
Ta 0.500 0.500 0.175
Ir 0.000 0.000 0.000
Ir 0.000 0.000 0.666
Ir 0.000 0.000 0.334



Computed, not measured: crystalline MgTa3Ir at its relaxed geometry at the PBE level of DFT.

Total energy: -8.27 eV/atom
Distance to the lowest polymorph of the same formula: 0.000 eV/atom
Energy relative to the elements: 90 kJ per mole of atoms
Symmetry: Pm-3m (221)

Unit cell a=4.891 b=4.891 c=4.891 alpha=90.00 beta=90.00 gamma=90.00
Atoms (fractional coordinates):
Mg 0.500 0.500 0.500
Ir 0.000 0.000 0.000
Ta 0.000 0.500 0.000
Ta 0.000 0.000 0.500
Ta 0.500 0.000 0.000



Computed, not measured: crystalline Mg5TaIr6 at its relaxed geometry at the PBE level of DFT.

Total energy: -6.56 eV/atom
Energy relative to the elements: -46 kJ per mole of atoms
Symmetry: C2/m (12)

Unit cell a=4.422 b=6.292 c=7.649 alpha=114.29 beta=106.75 gamma=90.00
Atoms (fractional coordinates):
Mg 0.670 0.170 0.341
Mg 0.332 0.332 0.665
Mg 0.000 0.500 0.000
Mg 0.668 0.668 0.335
Mg 0.330 0.830 0.659
Ir 0.836 0.589 0.673
Ir 0.836 0.084 0.673
Ir 0.500 0.754 0.000
Ir 0.500 0.246 0.000
Ir 0.164 0.916 0.327
Ir 0.164 0.411 0.327
Ta 0.000 0.000 0.000



Computed, not measured: crystalline Mg2TaIr at its relaxed geometry at the PBE level of DFT.

Total energy: -6.24 eV/atom
Distance to the lowest polymorph of the same formula: 0.000 eV/atom
Energy relative to the elements: -26 kJ per mole of atoms
Symmetry: F-43m (216)

Unit cell a=4.544 b=4.544 c=4.544 alpha=60.00 beta=60.00 gamma=60.00
Atoms (fractional coordinates):
Ir 0.500 0.500 0.500
Mg 0.000 0.000 0.000
Mg 0.250 0.250 0.250
Ta 0.750 0.750 0.750



Computed, not measured: crystalline Mg4TaIr at its relaxed geometry at the PBE level of DFT.

Total energy: -4.05 eV/atom
Energy relative to the elements: 45 kJ per mole of atoms
Symmetry: F-43m (216)

Unit cell a=5.336 b=5.336 c=5.336 alpha=60.00 beta=60.00 gamma=60.00
Atoms (fractional coordinates):
Mg 0.874 0.375 0.375
Mg 0.375 0.375 0.874
Mg 0.375 0.874 0.375
Mg 0.375 0.375 0.375
Ta 0.750 0.750 0.750
Ir 0.000 0.000 0.000



Computed, not measured: crystalline Mg2TaIr at its relaxed geometry at the PBE level of DFT.

Total energy: -5.68 eV/atom
Distance to the lowest polymorph of the same formula: 0.558 eV/atom
Energy relative to the elements: 28 kJ per mole of atoms
Symmetry: Fm-3m (225)

Unit cell a=4.559 b=4.559 c=4.559 alpha=60.00 beta=60.00 gamma=60.00
Atoms (fractional coordinates):
Mg 0.250 0.250 0.250
Mg 0.750 0.750 0.750
Ir 0.500 0.500 0.500
Ta 0.000 0.000 0.000



Computed, not measured: crystalline Mg2TaIr at its relaxed geometry at the PBE level of DFT.

Total energy: -6.04 eV/atom
Distance to the lowest polymorph of the same formula: 0.197 eV/atom
Energy relative to the elements: -7 kJ per mole of atoms
Symmetry: Cm (8)

Unit cell a=4.825 b=4.825 c=5.308 alpha=82.98 beta=82.98 gamma=34.85
Atoms (fractional coordinates):
Ir 0.255 0.255 0.277
Mg 0.989 0.989 0.995
Mg 0.749 0.749 0.761
Ta 0.507 0.507 0.467



Computed, not measured: crystalline Mg2TaIr at its relaxed geometry at the PBE level of DFT.

Total energy: -5.93 eV/atom
Distance to the lowest polymorph of the same formula: 0.309 eV/atom
Energy relative to the elements: 4 kJ per mole of atoms
Symmetry: Cmmm (65)

Unit cell a=5.269 b=5.269 c=2.851 alpha=90.00 beta=90.00 gamma=119.01
Atoms (fractional coordinates):
Ir 0.000 0.500 0.500
Mg 0.000 0.000 0.000
Mg 0.500 0.500 0.000
Ta 0.500 0.000 0.500



Computed, not measured: crystalline Mg2TaIr2 at its relaxed geometry at the PBE level of DFT.

Total energy: -6.06 eV/atom
Distance to the lowest polymorph of the same formula: 0.645 eV/atom
Energy relative to the elements: 48 kJ per mole of atoms
Symmetry: I4/mmm (139)

Unit cell a=4.400 b=4.400 c=5.414 alpha=66.03 beta=66.03 gamma=90.00
Atoms (fractional coordinates):
Mg 0.369 0.369 0.262
Mg 0.631 0.631 0.738
Ir 0.750 0.250 0.500
Ir 0.250 0.750 0.500
Ta 0.000 0.000 0.000



Computed, not measured: crystalline Mg2TaIr at its relaxed geometry at the PBE level of DFT.

Total energy: -6.08 eV/atom
Distance to the lowest polymorph of the same formula: 0.159 eV/atom
Energy relative to the elements: -10 kJ per mole of atoms
Symmetry: Pmmm (47)

Unit cell a=3.670 b=4.075 c=4.586 alpha=90.00 beta=90.00 gamma=90.00
Atoms (fractional coordinates):
Ir 0.000 0.500 0.500
Mg 0.000 0.000 0.000
Mg 0.500 0.500 0.000
Ta 0.500 0.000 0.500



Computed, not measured: crystalline Mg2TaIr at its relaxed geometry at the PBE level of DFT.

Total energy: -5.51 eV/atom
Distance to the lowest polymorph of the same formula: 0.726 eV/atom
Energy relative to the elements: 44 kJ per mole of atoms
Symmetry: I-42d (122)

Unit cell a=7.629 b=7.629 c=5.999 alpha=50.52 beta=50.52 gamma=90.00
Atoms (fractional coordinates):
Mg 0.666 0.125 0.250
Mg 0.084 0.625 0.250
Mg 0.375 0.334 0.750
Mg 0.875 0.916 0.750
Ir 0.000 0.000 0.000
Ir 0.750 0.250 0.500
Ta 0.500 0.500 0.000
Ta 0.250 0.750 0.500



Computed, not measured: crystalline MgTa4Ir at its relaxed geometry at the PBE level of DFT.

Total energy: -9.36 eV/atom
Energy relative to the elements: 27 kJ per mole of atoms
Symmetry: F-43m (216)

Unit cell a=5.393 b=5.393 c=5.393 alpha=60.00 beta=60.00 gamma=60.00
Atoms (fractional coordinates):
Mg 0.000 0.000 0.000
Ta 0.877 0.374 0.374
Ta 0.374 0.374 0.877
Ta 0.374 0.877 0.374
Ta 0.374 0.374 0.374
Ir 0.750 0.750 0.750



Computed, not measured: crystalline MgTa4Ir5 at its relaxed geometry at the PBE level of DFT.

Total energy: -9.90 eV/atom
Energy relative to the elements: -55 kJ per mole of atoms
Symmetry: P4/mmm (123)

Unit cell a=2.930 b=2.930 c=18.683 alpha=90.00 beta=90.00 gamma=90.00
Atoms (fractional coordinates):
Mg 0.000 0.000 0.000
Ta 0.000 0.000 0.193
Ta 0.000 0.000 0.398
Ta 0.000 0.000 0.602
Ta 0.000 0.000 0.807
Ir 0.500 0.500 0.098
Ir 0.500 0.500 0.295
Ir 0.500 0.500 0.500
Ir 0.500 0.500 0.705
Ir 0.500 0.500 0.902